TiAl3Ni4: relaxed, PBE.

Cell and atoms, written as extended XYZ:
```
16
Lattice="-1.7306 2.7448 2.5110 -5.1867 -2.8596 -0.4488 2.0027 -4.6464 6.4592" Properties=species:S:1:pos:R:3 pbc="T T T"
Ni -4.7659 -0.7782 0.9180
Ni -3.7646 -3.1014 4.1476
Ni -2.1513 0.6634 1.1442
Ni -1.1500 -1.6599 4.3738
Ni -2.3987 -5.6352 4.5070
Ni -5.1305 -0.5676 3.7881
Ni -2.5158 0.8740 4.0144
Ni 0.2160 -4.1937 4.7333
Al 0.0000 0.0000 0.0000
Al 1.0014 -2.3232 3.2296
Al 0.6366 -2.1122 6.1001
Al -0.3645 0.2106 2.8701
Al -1.9565 -3.5423 5.8755
Al -2.9580 -1.2189 2.6459
Ti -2.5933 -1.4298 -0.2244
Ti -1.5920 -3.7530 3.0052
```

Output
ΔE_f (eV per atom): -0.6167
Space-group type: P4/mmm (123)
Density (g/cm3): 6.04